VASP calculation (PBE-GGA) on a geometry-optimized RbPdBr structure.

```
data_RbPdBr
_chemical_formula_sum 'Rb2 Pd2 Br2'
_symmetry_space_group_name_H-M 'P 1'
_symmetry_Int_Tables_number 1
_symmetry_space_group_name_Hall 'P 1'
_cell_length_a 4.1414
_cell_length_b 5.0607
_cell_length_c 10.4462
_cell_angle_alpha 102.28
_cell_angle_beta 90.01
_cell_angle_gamma 114.17
loop_
_atom_site_label
_atom_site_fract_x
_atom_site_fract_y
_atom_site_fract_z
Rb1 0.1997 0.8076 0.0124
Rb2 0.0940 0.5973 0.5910
Br1 0.8439 0.0956 0.8101
Br2 0.9759 0.3624 0.2546
Pd1 0.6553 0.7207 0.3222
Pd2 0.3419 0.0939 0.3357
```

Computed properties:
* total magnetic moment: 0.0 μB/f.u.
* calculated total energy: -3.2964 eV per atom
* calculated density: 4.65 g/cm³
* symmetry: Cm (8)